First-principles (GGA-PBE) data for a geometry-optimized GdNiSn2 structure, as listed in OQMD.

Unit cell a=16.185 b=4.460 c=14.767 alpha=90.00 beta=90.00 gamma=90.00
Fractional positions:
Gd (0.124, 0.250, 0.232)
Gd (0.144, 0.750, 0.609)
Gd (0.151, 0.250, 0.974)
Gd (0.349, 0.750, 0.474)
Gd (0.356, 0.250, 0.109)
Gd (0.376, 0.750, 0.732)
Gd (0.624, 0.250, 0.268)
Gd (0.644, 0.750, 0.891)
Gd (0.651, 0.250, 0.526)
Gd (0.849, 0.750, 0.026)
Gd (0.856, 0.250, 0.391)
Gd (0.876, 0.750, 0.768)
Ni (0.051, 0.750, 0.105)
Ni (0.199, 0.250, 0.752)
Ni (0.201, 0.250, 0.459)
Ni (0.299, 0.750, 0.959)
Ni (0.301, 0.750, 0.252)
Ni (0.449, 0.250, 0.605)
Ni (0.551, 0.750, 0.395)
Ni (0.699, 0.250, 0.748)
Ni (0.701, 0.250, 0.041)
Ni (0.799, 0.750, 0.541)
Ni (0.801, 0.750, 0.248)
Ni (0.949, 0.250, 0.895)
Sn (0.021, 0.750, 0.922)
Sn (0.036, 0.250, 0.743)
Sn (0.045, 0.250, 0.453)
Sn (0.172, 0.750, 0.375)
Sn (0.187, 0.750, 0.827)
Sn (0.213, 0.750, 0.109)
Sn (0.287, 0.250, 0.609)
Sn (0.313, 0.250, 0.327)
Sn (0.328, 0.250, 0.875)
Sn (0.455, 0.750, 0.953)
Sn (0.464, 0.750, 0.243)
Sn (0.479, 0.250, 0.422)
Sn (0.521, 0.750, 0.578)
Sn (0.536, 0.250, 0.757)
Sn (0.545, 0.250, 0.047)
Sn (0.672, 0.750, 0.125)
Sn (0.687, 0.750, 0.673)
Sn (0.713, 0.750, 0.391)
Sn (0.787, 0.250, 0.891)
Sn (0.813, 0.250, 0.173)
Sn (0.828, 0.250, 0.625)
Sn (0.955, 0.750, 0.547)
Sn (0.964, 0.750, 0.257)
Sn (0.979, 0.250, 0.078)

## Properties
Volume   1066.1 Å³ per cell
ΔE to the lowest computed polymorph   0.0 meV/atom
Raw total energy   -0.18942 hartree per atom



First-principles (GGA-PBE) data for a geometry-optimized BaRePd structure, as listed in OQMD.

Unit cell a=4.927 b=4.927 c=4.927 alpha=60.00 beta=60.00 gamma=60.00
Fractional positions:
Ba (0.000, 0.000, 0.000)
Re (0.500, 0.500, 0.500)
Pd (0.750, 0.750, 0.750)

## Properties
Volume   84.5 Å³ per cell
ΔE to the lowest computed polymorph   0.0 meV/atom
Raw total energy   -0.19346 hartree per atom



First-principles (GGA-PBE) data for a geometry-optimized Gd2ErFeNi8 structure, as listed in OQMD.

Unit cell a=8.557 b=8.557 c=8.557 alpha=33.87 beta=33.87 gamma=33.87
Fractional positions:
Gd (0.139, 0.139, 0.139)
Gd (0.861, 0.861, 0.861)
Er (0.000, 0.000, 0.000)
Fe (0.500, 0.500, 0.500)
Ni (0.082, 0.583, 0.583)
Ni (0.333, 0.333, 0.333)
Ni (0.417, 0.417, 0.918)
Ni (0.417, 0.918, 0.417)
Ni (0.583, 0.082, 0.583)
Ni (0.583, 0.583, 0.082)
Ni (0.667, 0.667, 0.667)
Ni (0.918, 0.417, 0.417)

## Properties
Volume   173.4 Å³ per cell
Raw total energy   -0.21650 hartree per atom
Energy of formation from the pure elements   -331 meV/atom



First-principles (GGA-PBE) data for a geometry-optimized DyAgGeSe2S structure, as listed in OQMD.

Unit cell a=6.886 b=6.886 c=10.318 alpha=90.00 beta=90.00 gamma=146.18
Fractional positions:
Dy (0.000, 0.000, 0.000)
Dy (0.000, 0.000, 0.500)
Ag (0.476, 0.524, 0.750)
Ag (0.524, 0.476, 0.250)
Ge (0.257, 0.743, 0.250)
Ge (0.743, 0.257, 0.750)
Se (0.349, 0.651, 0.559)
Se (0.349, 0.651, 0.941)
Se (0.651, 0.349, 0.059)
Se (0.651, 0.349, 0.441)
S (0.100, 0.900, 0.750)
S (0.900, 0.100, 0.250)

## Properties
Volume   272.3 Å³ per cell
Raw total energy   -0.16972 hartree per atom



First-principles (GGA-PBE) data for a geometry-optimized PrGd2Mg3Pt3 structure, as listed in OQMD.

Unit cell a=4.106 b=7.470 c=7.470 alpha=120.07 beta=90.00 gamma=90.00
Fractional positions:
Pr (0.000, 0.000, 0.000)
Gd (0.000, 0.414, 0.823)
Gd (0.000, 0.823, 0.414)
Mg (0.500, 0.171, 0.416)
Mg (0.500, 0.416, 0.171)
Mg (0.500, 0.655, 0.655)
Pt (0.000, 0.419, 0.419)
Pt (0.500, 0.082, 0.741)
Pt (0.500, 0.741, 0.082)

## Properties
Volume   198.3 Å³ per cell
Raw total energy   -0.18475 hartree per atom



First-principles (GGA-PBE) data for a geometry-optimized GdNi3 structure, as listed in OQMD.

Unit cell a=3.852 b=3.852 c=3.852 alpha=90.00 beta=90.00 gamma=90.00
Fractional positions:
Gd (0.000, 0.000, 0.000)
Ni (0.000, 0.500, 0.500)
Ni (0.500, 0.000, 0.500)
Ni (0.500, 0.500, 0.000)

## Properties
Volume   57.2 Å³ per cell
Raw total energy   -0.20404 hartree per atom
Energy of formation from the pure elements   -213 meV/atom



First-principles (GGA-PBE) data for a geometry-optimized PrTlAg structure, as listed in OQMD.

Unit cell a=4.948 b=4.948 c=4.948 alpha=60.00 beta=60.00 gamma=60.00
Fractional positions:
Pr (0.000, 0.000, 0.000)
Tl (0.500, 0.500, 0.500)
Ag (0.250, 0.250, 0.250)

## Properties
Volume   85.7 Å³ per cell
Raw total energy   -0.13015 hartree per atom



First-principles (GGA-PBE) data for a geometry-optimized LuNbMo structure, as listed in OQMD.

Unit cell a=4.556 b=4.556 c=4.556 alpha=60.00 beta=60.00 gamma=60.00
Fractional positions:
Lu (0.000, 0.000, 0.000)
Nb (0.500, 0.500, 0.500)
Mo (0.250, 0.250, 0.250)

## Properties
Volume   66.9 Å³ per cell
ΔE to the lowest computed polymorph   0.0 meV/atom
Raw total energy   -0.29015 hartree per atom
Energy of formation from the pure elements   593 meV/atom



First-principles (GGA-PBE) data for a geometry-optimized TbSm2Sb3 structure, as listed in OQMD.

Unit cell a=4.442 b=4.442 c=10.899 alpha=90.00 beta=90.00 gamma=120.00
Fractional positions:
Tb (0.000, 0.000, 0.000)
Sm (0.333, 0.667, 0.332)
Sm (0.667, 0.333, 0.668)
Sb (0.000, 0.000, 0.500)
Sb (0.333, 0.667, 0.837)
Sb (0.667, 0.333, 0.163)

## Properties
Volume   186.2 Å³ per cell
Raw total energy   -0.20480 hartree per atom



First-principles (GGA-PBE) data for a geometry-optimized HoUNb structure, as listed in OQMD.

Unit cell a=4.809 b=4.809 c=4.809 alpha=60.00 beta=60.00 gamma=60.00
Fractional positions:
Ho (0.000, 0.000, 0.000)
U (0.500, 0.500, 0.500)
Nb (0.250, 0.250, 0.250)

## Properties
Volume   78.7 Å³ per cell
ΔE to the lowest computed polymorph   0.0 meV/atom
Raw total energy   -0.28279 hartree per atom
Energy of formation from the pure elements   961 meV/atom



First-principles (GGA-PBE) data for a geometry-optimized Y3Si2Ag3Ge structure, as listed in OQMD.

Unit cell a=7.102 b=7.102 c=4.230 alpha=90.00 beta=90.00 gamma=120.00
Fractional positions:
Y (0.000, 0.582, 0.000)
Y (0.418, 0.418, 0.000)
Y (0.582, 0.000, 0.000)
Si (0.333, 0.667, 0.500)
Si (0.667, 0.333, 0.500)
Ag (0.000, 0.256, 0.500)
Ag (0.256, 0.000, 0.500)
Ag (0.744, 0.744, 0.500)
Ge (0.000, 0.000, 0.000)

## Properties
Volume   184.7 Å³ per cell
Raw total energy   -0.20024 hartree per atom



First-principles (GGA-PBE) data for a geometry-optimized RbSmPdSe3 structure, as listed in OQMD.

Unit cell a=8.607 b=8.607 c=9.990 alpha=90.00 beta=90.00 gamma=150.96
Fractional positions:
Rb (0.245, 0.755, 0.750)
Rb (0.755, 0.245, 0.250)
Sm (0.000, 0.000, 0.000)
Sm (0.000, 0.000, 0.500)
Pd (0.497, 0.503, 0.750)
Pd (0.503, 0.497, 0.250)
Se (0.093, 0.907, 0.250)
Se (0.391, 0.609, 0.085)
Se (0.391, 0.609, 0.415)
Se (0.609, 0.391, 0.585)
Se (0.609, 0.391, 0.915)
Se (0.907, 0.093, 0.750)

## Properties
Volume   359.2 Å³ per cell
Raw total energy   -0.17303 hartree per atom



First-principles (GGA-PBE) data for a geometry-optimized LuBe2Cu structure, as listed in OQMD.

Unit cell a=4.285 b=4.285 c=4.285 alpha=60.00 beta=60.00 gamma=60.00
Fractional positions:
Lu (0.000, 0.000, 0.000)
Be (0.250, 0.250, 0.250)
Be (0.500, 0.500, 0.500)
Cu (0.750, 0.750, 0.750)

## Properties
Volume   55.6 Å³ per cell
Raw total energy   -0.14160 hartree per atom



First-principles (GGA-PBE) data for a geometry-optimized ZrAs structure, as listed in OQMD.

Unit cell a=5.106 b=8.640 c=5.427 alpha=90.00 beta=90.00 gamma=90.00
Fractional positions:
Zr (0.000, 0.000, 0.000)
Zr (0.000, 0.000, 0.500)
Zr (0.000, 0.334, 0.254)
Zr (0.000, 0.666, 0.754)
Zr (0.500, 0.237, 0.746)
Zr (0.500, 0.763, 0.246)
As (0.000, 0.308, 0.753)
As (0.000, 0.692, 0.253)
As (0.500, 0.096, 0.249)
As (0.500, 0.431, 0.262)
As (0.500, 0.569, 0.762)
As (0.500, 0.904, 0.749)

## Properties
Volume   239.4 Å³ per cell
Raw total energy   -0.27127 hartree per atom



First-principles (GGA-PBE) data for a geometry-optimized K3NaHf2Te6 structure, as listed in OQMD.

Unit cell a=7.625 b=7.625 c=8.524 alpha=98.58 beta=98.58 gamma=120.11
Fractional positions:
K (0.000, 0.000, 0.000)
K (0.345, 0.655, 0.000)
K (0.655, 0.345, 0.000)
Na (0.500, 0.500, 0.500)
Hf (0.169, 0.831, 0.500)
Hf (0.831, 0.169, 0.500)
Te (0.067, 0.432, 0.297)
Te (0.203, 0.203, 0.696)
Te (0.432, 0.067, 0.297)
Te (0.568, 0.933, 0.703)
Te (0.797, 0.797, 0.304)
Te (0.933, 0.568, 0.703)

## Properties
Volume   409.1 Å³ per cell
ΔE to the lowest computed polymorph   0.0 meV/atom
Raw total energy   -0.16868 hartree per atom



First-principles (GGA-PBE) data for a geometry-optimized Cu3Ag17 structure, as listed in OQMD.

Unit cell a=6.456 b=7.648 c=7.649 alpha=85.75 beta=65.08 gamma=89.99
Fractional positions:
Cu (0.000, 0.000, 0.000)
Cu (0.100, 0.097, 0.619)
Cu (0.430, 0.953, 0.713)
Ag (0.042, 0.553, 0.312)
Ag (0.143, 0.657, 0.908)
Ag (0.191, 0.197, 0.217)
Ag (0.244, 0.761, 0.510)
Ag (0.290, 0.285, 0.813)
Ag (0.339, 0.856, 0.100)
Ag (0.393, 0.399, 0.415)
Ag (0.493, 0.498, 0.010)
Ag (0.542, 0.051, 0.317)
Ag (0.589, 0.606, 0.613)
Ag (0.655, 0.146, 0.910)
Ag (0.696, 0.707, 0.205)
Ag (0.745, 0.246, 0.520)
Ag (0.794, 0.809, 0.806)
Ag (0.847, 0.346, 0.113)
Ag (0.890, 0.906, 0.412)
Ag (0.948, 0.449, 0.711)

## Properties
Volume   341.4 Å³ per cell
Raw total energy   -0.10714 hartree per atom
Energy of formation from the pure elements   43 meV/atom



First-principles (GGA-PBE) data for a geometry-optimized TbCdB4 structure, as listed in OQMD.

Unit cell a=3.220 b=3.220 c=7.736 alpha=90.00 beta=90.00 gamma=120.00
Fractional positions:
Tb (0.000, 0.000, 0.000)
Cd (0.000, 0.000, 0.500)
B (0.333, 0.667, 0.249)
B (0.333, 0.667, 0.751)
B (0.667, 0.333, 0.249)
B (0.667, 0.333, 0.751)

## Properties
Volume   69.5 Å³ per cell
ΔE to the lowest computed polymorph   110.3 meV/atom
Raw total energy   -0.19606 hartree per atom



First-principles (GGA-PBE) data for a geometry-optimized CdGaHgAu structure, as listed in OQMD.

Unit cell a=4.923 b=4.923 c=4.923 alpha=60.00 beta=60.00 gamma=60.00
Fractional positions:
Cd (0.000, 0.000, 0.000)
Ga (0.500, 0.500, 0.500)
Hg (0.250, 0.250, 0.250)
Au (0.750, 0.750, 0.750)

## Properties
Volume   84.4 Å³ per cell
ΔE to the lowest computed polymorph   0.0 meV/atom
Raw total energy   -0.06877 hartree per atom



First-principles (GGA-PBE) data for a geometry-optimized Li3Cu structure, as listed in OQMD.

Unit cell a=4.413 b=4.493 c=11.740 alpha=89.81 beta=89.99 gamma=89.93
Fractional positions:
Li (0.249, 0.217, 0.152)
Li (0.250, 0.683, 0.489)
Li (0.250, 0.713, 0.015)
Li (0.251, 0.150, 0.610)
Li (0.251, 0.188, 0.853)
Li (0.251, 0.652, 0.727)
Li (0.749, 0.348, 0.273)
Li (0.749, 0.812, 0.147)
Li (0.749, 0.850, 0.390)
Li (0.750, 0.287, 0.985)
Li (0.750, 0.317, 0.511)
Li (0.751, 0.783, 0.848)
Cu (0.249, 0.200, 0.372)
Cu (0.249, 0.708, 0.271)
Cu (0.751, 0.292, 0.729)
Cu (0.751, 0.800, 0.628)

## Properties
Volume   232.8 Å³ per cell
Raw total energy   -0.08685 hartree per atom



First-principles (GGA-PBE) data for a geometry-optimized ReSnSe3S structure, as listed in OQMD.

Unit cell a=6.817 b=6.825 c=7.618 alpha=63.45 beta=72.71 gamma=89.02
Fractional positions:
Re (0.000, 0.211, 0.000)
Re (0.000, 0.789, 0.000)
Sn (0.000, 0.264, 0.472)
Sn (0.000, 0.736, 0.528)
Se (0.243, 0.129, 0.735)
Se (0.250, 0.134, 0.196)
Se (0.250, 0.662, 0.197)
Se (0.750, 0.338, 0.803)
Se (0.750, 0.866, 0.804)
Se (0.757, 0.871, 0.265)
S (0.192, 0.599, 0.796)
S (0.808, 0.401, 0.204)

## Properties
Volume   300.0 Å³ per cell
ΔE to the lowest computed polymorph   29.4 meV/atom
Raw total energy   -0.19928 hartree per atom